A plane-wave DFT calculation with PBEsol was carried out for an optimized crystal structure of Al4SiP.

Results
Fermi-level density of states in states/eV/f.u.: 3.0
E in eV/cell: -101.7
Theoretical density in g/cm³: 2.79

Unit cell a=7.3501 b=7.3501 c=7.3501 alpha=90.00 beta=90.00 gamma=90.00
Space group F-43m (No. 216)
Unique sites:
Al1 0.1247 0.1247 0.1247 x16
Si1 0.2500 0.2500 0.7500 x4
P1 0.0000 0.0000 0.5000 x4


A plane-wave DFT calculation with PBEsol was carried out for an optimized crystal structure of AlSiP2.

Results
Polymorph energy (0 for the lowest one) in kJ/mol of formula units: 0
Fermi-level density of states in states/eV/f.u.: 1.3
Theoretical density in g/cm³: 3.13

Unit cell a=3.5172 b=3.5172 c=5.0130 alpha=90.00 beta=90.00 gamma=90.00
Space group P4/mmm (No. 123)
Unique sites:
Al1 0.0000 0.0000 0.0000 x1
Si1 0.5000 0.5000 0.5000 x1
P1 0.0000 0.0000 0.5000 x1
P2 0.5000 0.5000 0.0000 x1


A plane-wave DFT calculation with PBEsol was carried out for an optimized crystal structure of Al2SiP.

Results
Polymorph energy (0 for the lowest one) in kJ/mol of formula units: 6
Fermi-level density of states in states/eV/f.u.: 1.6
Theoretical density in g/cm³: 3.00

Unit cell a=3.4419 b=4.8451 c=7.4963 alpha=90.00 beta=90.00 gamma=90.00
Space group Immm (No. 71)
Unique sites:
Al1 0.0000 0.0000 0.2391 x4
Si1 0.0000 0.5000 0.0000 x2
P1 0.0000 0.5000 0.5000 x2


Which of these has the lowest Fermi-level density of states? AlSiP2


Number 2 is which compound? AlSiP2